# 1
Material: LiIn
Method: DFT, GGA-PBE
State: relaxed

Cell: 10.8430 3.4876 6.8643 Å, 90.00 107.22 90.00°
Space group Cm (No. 8)
Asymmetric unit:
Li1 0.0000 0.0000 0.0000 x2
Li2 0.0368 0.0000 0.5564 x2
Li3 0.3591 0.0000 0.2273 x2
In1 0.1576 0.5000 0.3269 x2
In2 0.1955 0.5000 0.8917 x2
In3 0.3501 0.0000 0.6669 x2



# 2
Material: Dy2Sc7
Method: DFT, GGA-PBE
State: relaxed

Results
E above lowest polymorph, meV per atom: 224

Cell: 6.2509 6.2509 44.3361 Å, 90.00 90.00 120.00°
Space group R-3m (No. 166, hexagonal axes)
Asymmetric unit:
Dy1 0.0000 0.0000 0.0574 x6
Dy2 0.0000 0.0000 0.1471 x6
Sc1 0.0000 0.0000 0.2763 x6
Sc2 0.0000 0.0000 0.3909 x6
Sc3 0.0000 0.0000 0.5000 x3
Sc4 0.0000 0.5000 0.0000 x9
Sc5 0.0082 0.5041 0.8859 x18



no.,E (eV per atom),DOS at the Fermi energy (states/eV/atom),energy of formation (meV/atom)
1,-2.556,0.2270,-230
2,-5.670,2.3560,277